Below is crystalline Cs2Zr2MnMo6O24 at its relaxed geometry, with properties calculated at the GGA+U level.

Geometry as POSCAR:
```
Cs2Zr2MnMo6O24
1.0
8.901 0.000 0.000
-1.570 8.902 0.000
-1.578 -1.853 8.752
Cs Zr Mn Mo O
2 2 1 6 24
Cartesian
0.693 1.255 1.583
5.059 5.795 7.170
3.661 -0.926 4.376
3.666 4.451 0.000
-1.574 3.525 4.376
0.435 0.726 5.748
0.542 5.455 1.804
0.570 5.652 6.868
5.182 1.398 1.884
5.210 1.595 6.948
5.317 6.324 3.004
-0.923 -0.307 6.098
-0.562 4.378 2.683
-0.272 6.182 0.445
-0.054 2.012 4.615
-0.607 4.876 5.797
-0.273 6.834 7.835
1.759 -0.216 4.894
1.059 1.485 7.292
1.929 4.395 1.208
1.212 6.751 2.913
1.407 4.397 7.920
1.873 6.468 5.845
3.880 0.582 2.907
4.345 2.653 0.832
4.541 0.299 5.839
3.823 2.655 7.544
4.694 5.565 1.460
3.993 7.266 3.858
6.025 0.216 0.917
6.359 2.174 2.955
5.807 5.038 4.138
6.025 0.868 8.307
6.315 2.671 6.070
6.676 7.357 2.655
```

Summary:
Crystal system: triclinic
Space-group type: P-1 (2)
Final energy: -7.362 eV/atom